No. 1
A PBEsol-optimized structure of CuAgRh2. Source: Alexandria via LeMat-Bulk, functional SCAN.

Cell lengths 9.0803, 2.6922, 4.6080 Å; angles 90.00, 102.18, 90.00 degrees
Closest atoms and distances in Å follow each position.
Space group C2/m (No. 12)
Unique sites:
Cu1 0.0000 0.0000 0.0000 (multiplicity 2)  6 Rh 2.59-2.81, 4 Ag 2.67, 2 Cu 2.69
Ag1 0.0000 0.5000 0.5000 (multiplicity 2)  4 Cu 2.67, 2 Ag 2.69, 6 Rh 2.70-2.77
Rh1 0.2391 0.5000 0.2364 (multiplicity 4)  3 Cu 2.59-2.81, 6 Rh 2.60-2.75, 3 Ag 2.70-2.77

Values from the calculation:
**Magnetization**: 0.0 μB/cell
**Energy relative to the lowest polymorph listed for this composition**: 0.000 eV per formula unit


No. 2
A PBEsol-optimized structure of SrTiBrO2. Source: Alexandria via LeMat-Bulk, functional SCAN.

Cell lengths 4.0349, 4.0349, 4.9517 Å; angles 90.00, 90.00, 90.00 degrees
Closest atoms and distances in Å follow each position.
Space group P4/mmm (No. 123)
Unique sites:
Sr1 0.0000 0.0000 0.0000 (multiplicity 1)  4 Br 2.85, 8 O 3.19
Ti1 0.5000 0.5000 0.5000 (multiplicity 1)  4 O 2.02
Br1 0.5000 0.5000 0.0000 (multiplicity 1)  2 Ti 2.48
O1 0.0000 0.5000 0.5000 (multiplicity 2)  2 Ti 2.02

Values from the calculation:
**Energy relative to the elements, uncorrected**: -11.43 eV per formula unit
**Magnetization**: 0.0 μB/cell


No. 3
A PBEsol-optimized structure of RbSrCdC2. Source: Alexandria via LeMat-Bulk, functional SCAN.

Cell lengths 5.2590, 5.2590, 5.6643 Å; angles 90.00, 90.00, 90.00 degrees
Closest atoms and distances in Å follow each position.
Space group P4/mmm (No. 123)
Unique sites:
Rb1 0.0000 0.0000 0.0000 (multiplicity 1)  4 C 2.63, 2 Cd 2.83
Sr1 0.5000 0.5000 0.5000 (multiplicity 1)  4 Cd 3.72, 8 C 3.86
Cd1 0.0000 0.0000 0.5000 (multiplicity 1)  2 Rb 2.83
C1 0.0000 0.5000 0.0000 (multiplicity 2)  2 Rb 2.63

Values from the calculation:
**Magnetization**: 4.9 μB/cell
**Raw total energy**: -16.46 eV per atom


No. 4
A PBEsol-optimized structure of Y5Si2Sb2. Source: Alexandria via LeMat-Bulk, functional SCAN.

Cell lengths 14.9452, 7.7353, 7.7560 Å; angles 90.00, 90.00, 90.00 degrees
Closest atoms and distances in Å follow each position.
Space group Cmce (No. 64)
Unique sites:
Y1 0.0000 0.0000 0.0000 (multiplicity 4)  4 Si 3.05-3.07, 2 Sb 3.09
Y2 0.1274 0.1699 0.3304 (multiplicity 16)  3 Si 2.94-2.99, 3 Sb 3.10-3.11
Si1 0.0000 0.1255 0.6249 (multiplicity 8)  1 Si 2.74, 8 Y 2.94-3.07
Sb1 0.2067 0.0000 0.0000 (multiplicity 8)  7 Y 3.09-3.11

Values from the calculation:
**Energy relative to the elements, uncorrected**: -9.34 eV per formula unit
**Magnetization**: 0.0 μB/cell


No. 5
A PBEsol-optimized structure of TeAu2Br. Source: Alexandria via LeMat-Bulk, functional SCAN.

Cell lengths 3.9872, 3.9872, 20.1362 Å; angles 90.00, 90.00, 120.00 degrees
Closest atoms and distances in Å follow each position.
Space group R-3m (No. 166, hexagonal axes)
Unique sites:
Te1 0.0000 0.0000 0.0000 (multiplicity 3)  6 Au 2.79
Au1 0.0000 0.0000 0.2553 (multiplicity 6)  3 Te 2.79, 3 Br 2.91
Br1 0.0000 0.0000 0.5000 (multiplicity 3)  6 Au 2.91

Values from the calculation:
**Energy relative to the elements, uncorrected**: -0.11 eV per formula unit
**Magnetization**: 0.0 μB/cell
**Energy relative to the lowest polymorph listed for this composition**: 0.000 eV per formula unit


No. 6
A PBEsol-optimized structure of ZrScHg. Source: Alexandria via LeMat-Bulk, functional SCAN.

Cell lengths 6.6541, 6.6541, 6.6541 Å; angles 90.00, 90.00, 90.00 degrees
Closest atoms and distances in Å follow each position.
Space group F-43m (No. 216)
Unique sites:
Zr1 0.0000 0.0000 0.0000 (multiplicity 4)  4 Hg 2.88
Sc1 0.0000 0.0000 0.5000 (multiplicity 4)  4 Hg 2.88
Hg1 0.2500 0.2500 0.7500 (multiplicity 4)  4 Zr 2.88, 4 Sc 2.88

Values from the calculation:
**Magnetization**: 4.1 μB/cell
**Energy relative to the lowest polymorph listed for this composition**: 0.859 eV per formula unit


No. 7
A PBEsol-optimized structure of LiLu2Co. Source: Alexandria via LeMat-Bulk, functional SCAN.

Cell lengths 6.5983, 6.5983, 6.5983 Å; angles 90.00, 90.00, 90.00 degrees
Closest atoms and distances in Å follow each position.
Space group Fm-3m (No. 225)
Unique sites:
Li1 0.0000 0.0000 0.0000 (multiplicity 4)  8 Lu 2.86
Lu1 0.2500 0.2500 0.2500 (multiplicity 8)  4 Li 2.86, 4 Co 2.86
Co1 0.0000 0.0000 0.5000 (multiplicity 4)  8 Lu 2.86

Values from the calculation:
**Magnetization**: 0.2 μB/cell
**Raw total energy**: -32.70 eV per atom


No. 8
A PBEsol-optimized structure of MgZn3. Source: Alexandria via LeMat-Bulk, functional SCAN.

Cell lengths 4.2878, 4.2878, 8.0332 Å; angles 90.00, 90.00, 120.00 degrees
Closest atoms and distances in Å follow each position.
Space group P6_3/mmc (No. 194)
Unique sites:
Mg1 0.3333 0.6667 0.2500 (multiplicity 2)  8 Zn 2.72-2.79
Zn1 0.0000 0.0000 0.0000 (multiplicity 2)  6 Zn 2.58
Zn2 0.3333 0.6667 0.5886 (multiplicity 4)  7 Zn 2.58-2.86, 4 Mg 2.72-2.79

Values from the calculation:
**Magnetization**: 0.0 μB/cell
**Raw total energy**: -11.51 eV per atom


No. 9
A PBEsol-optimized structure of Hg3SO6. Source: Alexandria via LeMat-Bulk, functional SCAN.

Cell lengths 7.0614, 7.0614, 10.1378 Å; angles 90.00, 90.00, 120.00 degrees
Closest atoms and distances in Å follow each position.
Space group P3_1 (No. 144)
Unique sites:
Hg1 0.0220 0.1655 0.0000 (multiplicity 3)  2 O 2.14
Hg2 0.0360 0.6672 0.9814 (multiplicity 3)  2 O 2.08
Hg3 0.5242 0.1706 0.9656 (multiplicity 3)  2 O 2.12
S1 0.1018 0.4441 0.6525 (multiplicity 3)  4 O 1.48-1.50
O1 0.0042 0.1871 0.2631 (multiplicity 3)  3 Hg 2.08-2.14
O2 0.0666 0.6066 0.7271 (multiplicity 3)  1 S 1.50
O3 0.0734 0.2697 0.7480 (multiplicity 3)  1 S 1.50
O4 0.2266 0.6780 0.2582 (multiplicity 3)  1 S 1.48
O5 0.4114 0.0687 0.2143 (multiplicity 3)  1 S 1.49
O6 0.4886 0.1495 0.7016 (multiplicity 3)  3 Hg 2.08-2.14

Values from the calculation:
**Energy relative to the elements, uncorrected**: -8.76 eV per formula unit
**Magnetization**: 0.0 μB/cell


No. 10
A PBEsol-optimized structure of Cr2ReNi. Source: Alexandria via LeMat-Bulk, functional SCAN.

Cell lengths 2.5997, 2.5997, 24.9891 Å; angles 90.00, 90.00, 120.00 degrees
Closest atoms and distances in Å follow each position.
Space group R3m (No. 160, hexagonal axes)
Unique sites:
Cr1 0.0000 0.0000 0.0000 (multiplicity 3)  3 Ni 2.49, 9 Cr 2.52-2.60
Cr2 0.0000 0.0000 0.2525 (multiplicity 3)  9 Cr 2.52-2.60, 3 Re 2.63
Re1 0.0000 0.0000 0.4997 (multiplicity 3)  6 Re 2.60, 3 Cr 2.63, 3 Ni 2.64
Ni1 0.0000 0.0000 0.7460 (multiplicity 3)  3 Cr 2.49, 6 Ni 2.60, 3 Re 2.64

Values from the calculation:
**Magnetization**: 5.4 μB/cell
**Raw total energy**: -30.72 eV per atom


No. 11
A PBEsol-optimized structure of CaYCr2. Source: Alexandria via LeMat-Bulk, functional SCAN.

Cell lengths 11.1989, 3.1993, 5.2011 Å; angles 90.00, 108.69, 90.00 degrees
Closest atoms and distances in Å follow each position.
Space group Cm (No. 8)
Unique sites:
Ca1 0.0000 0.0000 0.0000 (multiplicity 2)  7 Cr 3.09-3.21, 2 Ca 3.20, 2 Y 3.35-3.37
Y1 0.2994 0.5000 0.3641 (multiplicity 2)  7 Cr 3.10-3.17, 2 Y 3.20, 2 Ca 3.35-3.37
Cr1 0.0520 0.5000 0.5336 (multiplicity 2)  2 Cr 2.66
Cr2 0.2375 0.0000 0.8171 (multiplicity 2)  2 Cr 2.66

Values from the calculation:
**Magnetization**: 14.8 μB/cell
**Raw total energy**: -18.12 eV per atom


No. 12
A PBEsol-optimized structure of InGaAs2. Source: Alexandria via LeMat-Bulk, functional SCAN.

Cell lengths 6.8206, 6.8206, 6.8206 Å; angles 90.00, 90.00, 90.00 degrees
Closest atoms and distances in Å follow each position.
Space group Fm-3m (No. 225)
Unique sites:
In1 0.0000 0.0000 0.0000 (multiplicity 4)  8 As 2.95
Ga1 0.0000 0.0000 0.5000 (multiplicity 4)  8 As 2.95
As1 0.2500 0.2500 0.2500 (multiplicity 8)  4 In 2.95, 4 Ga 2.95

Values from the calculation:
**Magnetization**: 0.0 μB/cell
**Energy relative to the lowest polymorph listed for this composition**: 2.517 eV per formula unit